# PBE+U TaFeN2F, optimized geometry
# D(E_F) (states/eV/atom): 0.3229
# Energy above the most stable polymorph in this dataset (meV per atom): 975.4
# Density (g/cm3): 9.2
# Crystal system: tetragonal
# V (A^3/atom): 10.2
data_TaFeN2F
_chemical_formula_sum 'Ta1 Fe1 N2 F1'
_cell_length_a 3.815
_cell_length_b 3.815
_cell_length_c 3.509
_cell_angle_alpha 90.00
_cell_angle_beta 90.00
_cell_angle_gamma 90.00
_symmetry_space_group_name_H-M 'P 4/m m m'
_symmetry_Int_Tables_number 123
_symmetry_space_group_name_Hall '-P 4 2'
loop_
_atom_site_label
_atom_site_type_symbol
_atom_site_fract_x
_atom_site_fract_y
_atom_site_fract_z
Ta1 Ta 0.000 0.000 0.000
Fe1 Fe 0.500 0.500 0.500
N1 N 0.000 0.500 0.500
F1 F 0.500 0.500 0.000